No. 1
# CdIn2F4 PBE optimized geometry
# - E_tot: -3.8150 eV/atom
# - Relative energy among the computed polymorphs: 101 meV per atom
data_CdIn2F4
_chemical_formula_sum 'Cd2 In4 F8'
_cell_length_a 4.518
_cell_length_b 4.518
_cell_length_c 13.454
_cell_angle_alpha 90.00
_cell_angle_beta 90.00
_cell_angle_gamma 90.00
_space_group_name_H-M_alt 'I 4/m m m'
_space_group_IT_number 139
_space_group_name_Hall '-I 4 2'
loop_
_atom_site_label
_atom_site_type_symbol
_atom_site_fract_x
_atom_site_fract_y
_atom_site_fract_z
Cd1 Cd 0.000 0.000 0.000
In1 In 0.000 0.000 0.350
F1 F 0.000 0.000 0.169
F2 F 0.000 0.500 0.000

No. 2
# Cd3InF PBE optimized geometry
# - E_tot: -1.8137 eV/atom
# - Relative energy among the computed polymorphs: 0 meV per atom
data_Cd3InF
_chemical_formula_sum 'Cd3 In1 F1'
_cell_length_a 4.934
_cell_length_b 4.934
_cell_length_c 4.934
_cell_angle_alpha 90.00
_cell_angle_beta 90.00
_cell_angle_gamma 90.00
_space_group_name_H-M_alt 'P m -3 m'
_space_group_IT_number 221
_space_group_name_Hall '-P 4 2 3'
loop_
_atom_site_label
_atom_site_type_symbol
_atom_site_fract_x
_atom_site_fract_y
_atom_site_fract_z
Cd1 Cd 0.000 0.000 0.500
In1 In 0.500 0.500 0.500
F1 F 0.000 0.000 0.000

No. 3
# Cd3InF PBE optimized geometry
# - E_tot: -1.6019 eV/atom
# - Relative energy among the computed polymorphs: 212 meV per atom
data_Cd3InF
_chemical_formula_sum 'Cd3 In1 F1'
_cell_length_a 5.450
_cell_length_b 5.450
_cell_length_c 5.450
_cell_angle_alpha 90.00
_cell_angle_beta 90.00
_cell_angle_gamma 90.00
_space_group_name_H-M_alt 'P m -3 m'
_space_group_IT_number 221
_space_group_name_Hall '-P 4 2 3'
loop_
_atom_site_label
_atom_site_type_symbol
_atom_site_fract_x
_atom_site_fract_y
_atom_site_fract_z
Cd1 Cd 0.000 0.000 0.500
In1 In 0.000 0.000 0.000
F1 F 0.500 0.500 0.500

Which uncorrected formation energy belongs to each record? In order, -42.3; -7.9; -3.0 kcal/mol of atoms.